P.
The following is a DFT calculation (SCAN) of Sc2TlSe at its PBEsol-relaxed geometry.

a b c (Å): 6.6260 7.5740 3.4434
angles (deg): 90.00 102.00 90.00
Space group C2/m (No. 12)
Asymmetric unit:
Sc1 0.2500 0.2500 0.0000 [4 per cell]
Tl1 0.0000 0.0000 0.5000 [2 per cell]
Se1 0.0000 0.5000 0.5000 [2 per cell]

Values from the calculation:
* crystal system: monoclinic
* D(E_F): 0.762 states/eV/atom

Q.
The following is a DFT calculation (SCAN) of Sc2TlSe at its PBEsol-relaxed geometry.

a b c (Å): 3.5345 3.5345 26.8108
angles (deg): 90.00 90.00 120.00
Space group R3m (No. 160, hexagonal axes)
Asymmetric unit:
Sc1 0.0000 0.0000 0.0000 [3 per cell]
Sc2 0.0000 0.0000 0.2387 [3 per cell]
Tl1 0.0000 0.0000 0.7546 [3 per cell]
Se1 0.0000 0.0000 0.5106 [3 per cell]

Values from the calculation:
* crystal system: trigonal
* D(E_F): 0.532 states/eV/atom

R.
The following is a DFT calculation (SCAN) of Sc2TlSe at its PBEsol-relaxed geometry.

a b c (Å): 3.6514 3.6514 22.6270
angles (deg): 90.00 90.00 120.00
Space group R-3m (No. 166, hexagonal axes)
Asymmetric unit:
Sc1 0.0000 0.0000 0.2372 [6 per cell]
Tl1 0.0000 0.0000 0.0000 [3 per cell]
Se1 0.0000 0.0000 0.5000 [3 per cell]

Values from the calculation:
* crystal system: trigonal
* D(E_F): 0.562 states/eV/atom

S.
The following is a DFT calculation (SCAN) of Sc2TlSe at its PBEsol-relaxed geometry.

a b c (Å): 3.4717 4.3173 11.7211
angles (deg): 90.00 90.00 90.00
Space group Imm2 (No. 44)
Asymmetric unit:
Sc1 0.0000 0.0000 0.0000 [2 per cell]
Sc2 0.0000 0.5000 0.2323 [2 per cell]
Tl1 0.0000 0.5000 0.8091 [2 per cell]
Se1 0.0000 0.0000 0.5542 [2 per cell]

Values from the calculation:
* crystal system: orthorhombic
* D(E_F): 0.538 states/eV/atom

Result of the stability comparison: Q is the least stable of them.

P.
The following is a DFT calculation (SCAN) of YScSe2 at its PBEsol-relaxed geometry.

a b c (Å): 3.9121 3.9121 19.2960
angles (deg): 90.00 90.00 120.00
Space group R-3m (No. 166, hexagonal axes)
Asymmetric unit:
Y1 0.0000 0.0000 0.0000 [3 per cell]
Sc1 0.0000 0.0000 0.5000 [3 per cell]
Se1 0.0000 0.0000 0.2445 [6 per cell]

Values from the calculation:
* crystal system: trigonal
* D(E_F): 0.510 states/eV/atom

Q.
The following is a DFT calculation (SCAN) of YScSe2 at its PBEsol-relaxed geometry.

a b c (Å): 3.9319 3.9319 5.5689
angles (deg): 90.00 90.00 90.00
Space group P4/mmm (No. 123)
Asymmetric unit:
Y1 0.0000 0.0000 0.0000 [1 per cell]
Sc1 0.5000 0.5000 0.5000 [1 per cell]
Se1 0.0000 0.0000 0.5000 [1 per cell]
Se2 0.5000 0.5000 0.0000 [1 per cell]

Values from the calculation:
* crystal system: tetragonal
* D(E_F): 0.550 states/eV/atom

R.
The following is a DFT calculation (SCAN) of YScSe2 at its PBEsol-relaxed geometry.

a b c (Å): 3.6372 3.6933 12.9081
angles (deg): 90.00 90.00 90.00
Space group Imm2 (No. 44)
Asymmetric unit:
Y1 0.0000 0.0000 0.0000 [2 per cell]
Sc1 0.0000 0.5000 0.7471 [2 per cell]
Se1 0.0000 0.0000 0.4054 [2 per cell]
Se2 0.0000 0.5000 0.1682 [2 per cell]

Values from the calculation:
* crystal system: orthorhombic
* D(E_F): 0.400 states/eV/atom

Result of the stability comparison: R is the least stable of them.

P.
The following is a DFT calculation (SCAN) of Sc3Si at its PBEsol-relaxed geometry.

a b c (Å): 7.1579 8.3756 5.6138
angles (deg): 90.00 90.00 90.00
Space group Pnma (No. 62)
Asymmetric unit:
Sc1 0.0313 0.2500 0.1104 [4 per cell]
Sc2 0.1745 0.0515 0.6566 [8 per cell]
Si1 0.1162 0.7500 0.4346 [4 per cell]

Values from the calculation:
* crystal system: orthorhombic
* D(E_F): 0.964 states/eV/atom

Q.
The following is a DFT calculation (SCAN) of Sc3Si at its PBEsol-relaxed geometry.

a b c (Å): 3.1815 4.6448 5.3348
angles (deg): 90.00 90.00 90.00
Space group Pmm2 (No. 25)
Asymmetric unit:
Sc1 0.0000 0.0000 0.0000 [1 per cell]
Sc2 0.0000 0.5000 0.3725 [1 per cell]
Sc3 0.5000 0.0000 0.5403 [1 per cell]
Si1 0.5000 0.5000 0.8505 [1 per cell]

Values from the calculation:
* crystal system: orthorhombic
* D(E_F): 1.000 states/eV/atom

R.
The following is a DFT calculation (SCAN) of Sc3Si at its PBEsol-relaxed geometry.

a b c (Å): 9.5153 9.5153 3.0187
angles (deg): 90.00 90.00 120.00
Space group R-3m (No. 166, hexagonal axes)
Asymmetric unit:
Sc1 0.0000 0.5000 0.0000 [9 per cell]
Si1 0.0000 0.0000 0.0000 [3 per cell]

Values from the calculation:
* crystal system: trigonal
* D(E_F): 0.744 states/eV/atom

Result of the stability comparison: R is the least stable of them.

P.
The following is a DFT calculation (SCAN) of Sc5Si3 at its PBEsol-relaxed geometry.

a b c (Å): 7.8209 7.8209 5.7448
angles (deg): 90.00 90.00 120.00
Space group P6_3/mcm (No. 193)
Asymmetric unit:
Sc1 0.0000 0.2414 0.2500 [6 per cell]
Sc2 0.3333 0.6667 0.0000 [4 per cell]
Si1 0.0000 0.3958 0.7500 [6 per cell]

Values from the calculation:
* crystal system: hexagonal
* D(E_F): 0.582 states/eV/atom

Q.
The following is a DFT calculation (SCAN) of Sc5Si3 at its PBEsol-relaxed geometry.

a b c (Å): 10.5649 10.5649 5.3205
angles (deg): 90.00 90.00 90.00
Space group I4/mcm (No. 140)
Asymmetric unit:
Sc1 0.0000 0.5000 0.2500 [4 per cell]
Sc2 0.0822 0.2155 0.0000 [16 per cell]
Si1 0.0000 0.0000 0.2500 [4 per cell]
Si2 0.1597 0.3403 0.5000 [8 per cell]

Values from the calculation:
* crystal system: tetragonal
* D(E_F): 0.736 states/eV/atom

Result of the stability comparison: Q is the least stable of them.

P.
The following is a DFT calculation (SCAN) of ScSi3Sn at its PBEsol-relaxed geometry.

a b c (Å): 4.9408 4.9408 4.9408
angles (deg): 90.00 90.00 90.00
Space group Pm-3m (No. 221)
Asymmetric unit:
Sc1 0.0000 0.0000 0.0000 [1 per cell]
Si1 0.0000 0.0000 0.5000 [3 per cell]
Sn1 0.5000 0.5000 0.5000 [1 per cell]

Values from the calculation:
* crystal system: cubic
* D(E_F): 0.474 states/eV/atom

Q.
The following is a DFT calculation (SCAN) of ScSi3Sn at its PBEsol-relaxed geometry.

a b c (Å): 5.0126 5.0126 5.0126
angles (deg): 90.00 90.00 90.00
Space group Pm-3m (No. 221)
Asymmetric unit:
Sc1 0.0000 0.0000 0.0000 [1 per cell]
Si1 0.0000 0.5000 0.5000 [3 per cell]
Sn1 0.5000 0.5000 0.5000 [1 per cell]

Values from the calculation:
* crystal system: cubic
* D(E_F): 0.717 states/eV/atom

Result of the stability comparison: Q is the least stable of them.

P.
The following is a DFT calculation (SCAN) of SrScSi2 at its PBEsol-relaxed geometry.

a b c (Å): 6.5143 8.2584 3.0735
angles (deg): 90.00 90.00 90.00
Space group Cmmm (No. 65)
Asymmetric unit:
Sr1 0.0000 0.0000 0.0000 [2 per cell]
Sc1 0.0000 0.5000 0.0000 [2 per cell]
Si1 0.2500 0.2500 0.5000 [4 per cell]

Values from the calculation:
* crystal system: orthorhombic
* D(E_F): 0.442 states/eV/atom

Q.
The following is a DFT calculation (SCAN) of SrScSi2 at its PBEsol-relaxed geometry.

a b c (Å): 5.0226 5.0226 17.8020
angles (deg): 90.00 90.00 90.00
Space group I-42d (No. 122)
Asymmetric unit:
Sr1 0.0000 0.0000 0.0000 [4 per cell]
Sc1 0.0000 0.0000 0.5000 [4 per cell]
Si1 0.0843 0.2500 0.6250 [8 per cell]

Values from the calculation:
* crystal system: tetragonal
* D(E_F): 0.521 states/eV/atom

Result of the stability comparison: Q is the least stable of them.

P.
The following is a DFT calculation (SCAN) of ScTaSi2 at its PBEsol-relaxed geometry.

a b c (Å): 6.3204 6.3204 6.3204
angles (deg): 90.00 90.00 90.00
Space group F-43m (No. 216)
Asymmetric unit:
Sc1 0.0000 0.0000 0.0000 [4 per cell]
Ta1 0.2500 0.2500 0.7500 [4 per cell]
Si1 0.0000 0.0000 0.5000 [4 per cell]
Si2 0.2500 0.2500 0.2500 [4 per cell]

Values from the calculation:
* crystal system: cubic
* D(E_F): 1.023 states/eV/atom

Q.
The following is a DFT calculation (SCAN) of ScTaSi2 at its PBEsol-relaxed geometry.

a b c (Å): 3.6675 3.5899 9.5858
angles (deg): 90.00 90.00 90.00
Space group Amm2 (No. 38)
Asymmetric unit:
Sc1 0.0000 0.0000 0.0000 [2 per cell]
Ta1 0.5000 0.0000 0.7085 [2 per cell]
Si1 0.0000 0.0000 0.2734 [2 per cell]
Si2 0.5000 0.0000 0.4322 [2 per cell]

Values from the calculation:
* crystal system: orthorhombic
* D(E_F): 0.214 states/eV/atom

Result of the stability comparison: P is the least stable of them.

P.
The following is a DFT calculation (SCAN) of Sc2SiTe at its PBEsol-relaxed geometry.

a b c (Å): 6.0931 7.4176 3.5722
angles (deg): 90.00 90.00 90.00
Space group Cmmm (No. 65)
Asymmetric unit:
Sc1 0.2500 0.2500 0.0000 [4 per cell]
Si1 0.0000 0.0000 0.5000 [2 per cell]
Te1 0.0000 0.5000 0.5000 [2 per cell]

Values from the calculation:
* crystal system: orthorhombic
* D(E_F): 0.641 states/eV/atom

Q.
The following is a DFT calculation (SCAN) of Sc2SiTe at its PBEsol-relaxed geometry.

a b c (Å): 3.9278 3.9278 19.8710
angles (deg): 90.00 90.00 120.00
Space group R-3m (No. 166, hexagonal axes)
Asymmetric unit:
Sc1 0.0000 0.0000 0.2395 [6 per cell]
Si1 0.0000 0.0000 0.5000 [3 per cell]
Te1 0.0000 0.0000 0.0000 [3 per cell]

Values from the calculation:
* crystal system: trigonal
* D(E_F): 0.167 states/eV/atom

R.
The following is a DFT calculation (SCAN) of Sc2SiTe at its PBEsol-relaxed geometry.

a b c (Å): 6.9045 6.9045 6.9045
angles (deg): 90.00 90.00 90.00
Space group Fm-3m (No. 225)
Asymmetric unit:
Sc1 0.2500 0.2500 0.2500 [8 per cell]
Si1 0.0000 0.0000 0.0000 [4 per cell]
Te1 0.0000 0.0000 0.5000 [4 per cell]

Values from the calculation:
* crystal system: cubic
* D(E_F): 0.825 states/eV/atom

Result of the stability comparison: R is the least stable of them.

P.
The following is a DFT calculation (SCAN) of Sc2TiSi2 at its PBEsol-relaxed geometry.

a b c (Å): 3.3680 3.3680 16.9610
angles (deg): 90.00 90.00 90.00
Space group I4/mmm (No. 139)
Asymmetric unit:
Sc1 0.0000 0.0000 0.1153 [4 per cell]
Ti1 0.0000 0.0000 0.5000 [2 per cell]
Si1 0.0000 0.5000 0.2500 [4 per cell]

Values from the calculation:
* crystal system: tetragonal
* D(E_F): 0.981 states/eV/atom

Q.
The following is a DFT calculation (SCAN) of Sc2TiSi2 at its PBEsol-relaxed geometry.

a b c (Å): 6.7658 6.7658 3.8196
angles (deg): 90.00 90.00 90.00
Space group P4/mbm (No. 127)
Asymmetric unit:
Sc1 0.1744 0.3256 0.0000 [4 per cell]
Ti1 0.0000 0.0000 0.5000 [2 per cell]
Si1 0.1274 0.6274 0.5000 [4 per cell]

Values from the calculation:
* crystal system: tetragonal
* D(E_F): 0.681 states/eV/atom

Result of the stability comparison: P is the least stable of them.

P.
The following is a DFT calculation (SCAN) of ScTl2Si at its PBEsol-relaxed geometry.

a b c (Å): 3.6384 3.6384 7.0607
angles (deg): 90.00 90.00 90.00
Space group P4mm (No. 99)
Asymmetric unit:
Sc1 0.0000 0.0000 0.0000 [1 per cell]
Tl1 0.0000 0.0000 0.4217 [1 per cell]
Tl2 0.5000 0.5000 0.7092 [1 per cell]
Si1 0.5000 0.5000 0.1074 [1 per cell]

Values from the calculation:
* crystal system: tetragonal
* D(E_F): 0.589 states/eV/atom

Q.
The following is a DFT calculation (SCAN) of ScTl2Si at its PBEsol-relaxed geometry.

a b c (Å): 5.9552 8.6264 3.4019
angles (deg): 90.00 90.00 90.00
Space group Cmmm (No. 65)
Asymmetric unit:
Sc1 0.0000 0.0000 0.0000 [2 per cell]
Tl1 0.2500 0.2500 0.5000 [4 per cell]
Si1 0.0000 0.5000 0.0000 [2 per cell]

Values from the calculation:
* crystal system: orthorhombic
* D(E_F): 0.544 states/eV/atom

Result of the stability comparison: Q is the least stable of them.

P.
The following is a DFT calculation (SCAN) of ScSiW2 at its PBEsol-relaxed geometry.

a b c (Å): 9.2946 3.3134 4.4721
angles (deg): 90.00 112.82 90.00
Space group Cm (No. 8)
Asymmetric unit:
Sc1 0.0000 0.0000 0.0000 [2 per cell]
Si1 0.2343 0.0000 0.7178 [2 per cell]
W1 0.2609 0.5000 0.2535 [2 per cell]
W2 0.4922 0.0000 0.5067 [2 per cell]

Values from the calculation:
* crystal system: monoclinic
* D(E_F): 0.545 states/eV/atom

Q.
The following is a DFT calculation (SCAN) of ScSiW2 at its PBEsol-relaxed geometry.

a b c (Å): 2.7583 2.7583 8.3621
angles (deg): 90.00 90.00 90.00
Space group P4/mmm (No. 123)
Asymmetric unit:
Sc1 0.0000 0.0000 0.0000 [1 per cell]
Si1 0.0000 0.0000 0.5000 [1 per cell]
W1 0.5000 0.5000 0.2794 [2 per cell]

Values from the calculation:
* crystal system: tetragonal
* D(E_F): 0.626 states/eV/atom

Result of the stability comparison: Q is the least stable of them.